DFT (PBE) results for Mg2FeCl after structural relaxation.

POSCAR file:
```
Mg2FeCl
1.0
3.460 0.000 0.000
0.000 3.465 0.000
0.000 0.000 7.818
Cl Fe Mg
1 1 2
Cartesian
0.000 0.000 3.082 Cl
1.730 1.733 6.901 Fe
0.000 0.000 7.709 Mg
1.730 1.733 1.855 Mg
```

The calculation puts the total energy at -3.3378 eV per atom. As for the energy relative to the lowest polymorph listed for this composition: 334 meV/atom. The magnetization is 2.58 μB per formula unit.